No. 1
Computed, not measured: a geometry-optimized Tb4MnPd15 structure at the GGA-PBE level of DFT.

Cell and atoms, written as extended XYZ:
```
20
Lattice="-3.441 0.255 2.205 0.717 -3.722 1.549 10.471 8.415 15.373" Properties=species:S:1:pos:R:3 pbc="T T T"
Tb 2.026 1.628 2.975
Tb 4.167 3.349 6.117
Tb 6.304 5.066 9.255
Tb 8.445 6.787 12.398
Mn 0.000 0.000 0.000
Pd -1.362 -1.734 1.877
Pd 0.659 -0.109 4.845
Pd 2.797 1.609 7.983
Pd 4.950 3.339 11.143
Pd 7.088 5.057 14.282
Pd -0.771 0.890 2.496
Pd 1.371 2.612 5.642
Pd 3.515 4.335 8.789
Pd 5.658 6.057 11.936
Pd 7.801 7.779 15.081
Pd 1.308 -1.098 2.168
Pd 3.451 0.624 5.314
Pd 5.594 2.346 8.461
Pd 7.738 4.069 11.608
Pd 9.880 5.791 14.754
```

Results
**Formation energy from the elements**: -70.33 kJ/mol of atoms
**SG**: P4/mmm
**Density of states at the Fermi level**: 15.2 states/eV/f.u.
**Crystal system**: tetragonal
**Calculated volume**: 342.3 Å³/f.u.

No. 2
Computed, not measured: a geometry-optimized Zr2CdIr structure at the GGA-PBE level of DFT.

Cell and atoms, written as extended XYZ:
```
4
Lattice="5.840 0.027 -0.006 4.850 3.253 -0.006 1.932 0.593 4.301" Properties=species:S:1:pos:R:3 pbc="T T T"
Cd 6.551 2.010 2.026
Ir 3.235 0.993 1.032
Zr 10.404 3.192 0.129
Zr 9.432 2.894 3.233
```

Results
**Formation energy from the elements**: -30.97 kJ/mol of atoms
**SG**: Imm2
**Density of states at the Fermi level**: 3.0 states/eV/f.u.
**Crystal system**: orthorhombic
**Calculated volume**: 81.2 Å³/f.u.

Repeat the first record exactly.
Computed, not measured: a geometry-optimized Tb4MnPd15 structure at the GGA-PBE level of DFT.

Cell and atoms, written as extended XYZ:
```
20
Lattice="-3.441 0.255 2.205 0.717 -3.722 1.549 10.471 8.415 15.373" Properties=species:S:1:pos:R:3 pbc="T T T"
Tb 2.026 1.628 2.975
Tb 4.167 3.349 6.117
Tb 6.304 5.066 9.255
Tb 8.445 6.787 12.398
Mn 0.000 0.000 0.000
Pd -1.362 -1.734 1.877
Pd 0.659 -0.109 4.845
Pd 2.797 1.609 7.983
Pd 4.950 3.339 11.143
Pd 7.088 5.057 14.282
Pd -0.771 0.890 2.496
Pd 1.371 2.612 5.642
Pd 3.515 4.335 8.789
Pd 5.658 6.057 11.936
Pd 7.801 7.779 15.081
Pd 1.308 -1.098 2.168
Pd 3.451 0.624 5.314
Pd 5.594 2.346 8.461
Pd 7.738 4.069 11.608
Pd 9.880 5.791 14.754
```

Results
**Formation energy from the elements**: -70.33 kJ/mol of atoms
**SG**: P4/mmm
**Density of states at the Fermi level**: 15.2 states/eV/f.u.
**Crystal system**: tetragonal
**Calculated volume**: 342.3 Å³/f.u.

Question: Number 2 is which compound?
Answer: Zr2CdIr

Question: density of states at the Fermi level of number 2 (Zr2CdIr)?
Answer: 3.0 states/eV/f.u.